An optimized crystal structure of NdMo2F11. Source: the Alexandria database, functional GGA+U.

Results
- N(E_F) (states/eV/cell) = 0.000
- density (g cm⁻³) = 4.2
- VASP energy (eV per cell) = -161.251
- symmetry = Ibam (72)

POSCAR file:
```
NdMo2F11
1.0
-3.8693 4.9807 5.5272
3.8693 -4.9807 5.5272
3.8693 4.9807 -5.5272
Nd Mo F
2 4 22
direct
0.2500 0.2500 0.0000 Nd
0.7500 0.7500 0.0000 Nd
0.1802 0.6389 0.8192 Mo
0.3198 0.1389 0.4587 Mo
0.6802 0.8611 0.5413 Mo
0.8198 0.3611 0.1808 Mo
0.0000 0.5000 0.5000 F
0.0512 0.9581 0.2834 F
0.0575 0.3672 0.1664 F
0.1747 0.4581 0.9069 F
0.2008 0.8911 0.8336 F
0.2167 0.3670 0.5836 F
0.2833 0.8670 0.1503 F
0.2992 0.1328 0.6903 F
0.3253 0.2322 0.2834 F
0.4425 0.6089 0.3097 F
0.4488 0.7322 0.9069 F
0.5000 0.0000 0.5000 F
0.5512 0.2678 0.0931 F
0.5575 0.3911 0.6903 F
0.6747 0.7678 0.7166 F
0.7008 0.8672 0.3097 F
0.7167 0.1330 0.8497 F
0.7833 0.6330 0.4164 F
0.7992 0.1089 0.1664 F
0.8253 0.5419 0.0931 F
0.9425 0.6328 0.8336 F
0.9488 0.0419 0.7166 F
```